## P
VASP calculation (PBE) on a relaxed structure of AsW2Br2.

a b c (Å): 4.290 4.290 11.088
angles (deg): 90.00 90.00 90.00
Space group I4/mmm (No. 139)
Symmetry-distinct sites (fractional):
As 0.000 0.000 0.000 (multiplicity 2)
W 0.000 0.500 0.250 (multiplicity 4)
Br 0.000 0.000 0.371 (multiplicity 4)

N(E_F), states/eV/cell: 8.07
Spin magnetization, μB/f.u.: 0.00
Theoretical density, g cm⁻³: 9.806

***

## Q
VASP calculation (PBE) on a relaxed structure of AsW2Br2.

a b c (Å): 8.102 8.102 2.913
angles (deg): 90.00 90.00 90.00
Space group P4/mbm (No. 127)
Symmetry-distinct sites (fractional):
As 0.000 0.000 0.000 (multiplicity 2)
W 0.194 0.306 0.500 (multiplicity 4)
Br 0.127 0.627 0.000 (multiplicity 4)

N(E_F), states/eV/cell: 8.43
Spin magnetization, μB/f.u.: 0.00
Theoretical density, g cm⁻³: 10.462

***

Result of the stability comparison: Q is the least stable of them.

***

## P
VASP calculation (PBE) on a relaxed structure of YAs2WBr.

a b c (Å): 5.302 5.302 5.484
angles (deg): 90.00 90.00 90.00
Space group P4/mmm (No. 123)
Symmetry-distinct sites (fractional):
Y 0.000 0.000 0.000 (multiplicity 1)
As 0.000 0.500 0.000 (multiplicity 2)
W 0.000 0.000 0.500 (multiplicity 1)
Br 0.500 0.500 0.500 (multiplicity 1)

N(E_F), states/eV/cell: 6.47
Spin magnetization, μB/f.u.: 0.42
Theoretical density, g cm⁻³: 5.413

***

## Q
VASP calculation (PBE) on a relaxed structure of YAs2WBr.

a b c (Å): 4.776 4.776 5.878
angles (deg): 90.00 90.00 90.00
Space group P4/mmm (No. 123)
Symmetry-distinct sites (fractional):
Y 0.000 0.000 0.000 (multiplicity 1)
As 0.000 0.500 0.500 (multiplicity 2)
W 0.000 0.000 0.500 (multiplicity 1)
Br 0.500 0.500 0.000 (multiplicity 1)

N(E_F), states/eV/cell: 2.83
Spin magnetization, μB/f.u.: 0.00
Theoretical density, g cm⁻³: 6.223

***

## R
VASP calculation (PBE) on a relaxed structure of YAs2WBr.

a b c (Å): 5.468 5.468 5.275
angles (deg): 90.00 90.00 90.00
Space group P4/mmm (No. 123)
Symmetry-distinct sites (fractional):
Y 0.000 0.000 0.000 (multiplicity 1)
As 0.000 0.500 0.000 (multiplicity 2)
W 0.500 0.500 0.500 (multiplicity 1)
Br 0.000 0.000 0.500 (multiplicity 1)

N(E_F), states/eV/cell: 4.07
Spin magnetization, μB/f.u.: 3.49
Theoretical density, g cm⁻³: 5.290

***

## S
VASP calculation (PBE) on a relaxed structure of YAs2WBr.

a b c (Å): 4.860 4.860 5.268
angles (deg): 90.00 90.00 90.00
Space group P4/mmm (No. 123)
Symmetry-distinct sites (fractional):
Y 0.000 0.000 0.000 (multiplicity 1)
As 0.000 0.500 0.500 (multiplicity 2)
W 0.500 0.500 0.500 (multiplicity 1)
Br 0.500 0.500 0.000 (multiplicity 1)

N(E_F), states/eV/cell: 4.88
Spin magnetization, μB/f.u.: 0.52
Theoretical density, g cm⁻³: 6.705

***

Result of the stability comparison: P is the least stable of them.

***

## P
VASP calculation (PBE) on a relaxed structure of YAsBr3.

a b c (Å): 5.393 5.393 5.393
angles (deg): 90.00 90.00 90.00
Space group Pm-3m (No. 221)
Symmetry-distinct sites (fractional):
Y 0.000 0.000 0.000 (multiplicity 1)
As 0.500 0.500 0.500 (multiplicity 1)
Br 0.000 0.500 0.500 (multiplicity 3)

N(E_F), states/eV/cell: 7.07
Spin magnetization, μB/f.u.: 1.58
Theoretical density, g cm⁻³: 4.272

***

## Q
VASP calculation (PBE) on a relaxed structure of YAsBr3.

a b c (Å): 5.632 5.632 5.632
angles (deg): 90.00 90.00 90.00
Space group Pm-3m (No. 221)
Symmetry-distinct sites (fractional):
Y 0.000 0.000 0.000 (multiplicity 1)
As 0.500 0.500 0.500 (multiplicity 1)
Br 0.000 0.000 0.500 (multiplicity 3)

Spin magnetization, μB/f.u.: 3.00
Theoretical density, g cm⁻³: 3.751

***

Result of the stability comparison: P is the least stable of them.

***

## P
VASP calculation (PBE) on a relaxed structure of YAs2Br.

a b c (Å): 10.783 3.650 5.190
angles (deg): 90.00 99.47 90.00
Space group C2/m (No. 12)
Symmetry-distinct sites (fractional):
Y 0.000 0.000 0.000 (multiplicity 2)
As 0.235 0.500 0.156 (multiplicity 4)
Br 0.000 0.500 0.500 (multiplicity 2)

N(E_F), states/eV/cell: 0.76
Spin magnetization, μB/f.u.: 0.00
Theoretical density, g cm⁻³: 5.253

***

## Q
VASP calculation (PBE) on a relaxed structure of YAs2Br.

a b c (Å): 4.433 3.751 7.330
angles (deg): 90.00 91.45 90.00
Space group Pm (No. 6)
Symmetry-distinct sites (fractional):
Y 0.000 0.000 0.000 (multiplicity 1)
As 0.484 0.000 0.691 (multiplicity 1)
As 0.496 0.500 0.912 (multiplicity 1)
Br 0.011 0.500 0.300 (multiplicity 1)

N(E_F), states/eV/cell: 0.82
Spin magnetization, μB/f.u.: 0.00
Theoretical density, g cm⁻³: 4.343

***

Result of the stability comparison: P is the least stable of them.

***

## P
VASP calculation (PBE) on a relaxed structure of YAs2Br.

a b c (Å): 7.176 7.176 7.176
angles (deg): 90.00 90.00 90.00
Space group F-43m (No. 216)
Symmetry-distinct sites (fractional):
Y 0.000 0.000 0.000 (multiplicity 4)
As 0.000 0.000 0.500 (multiplicity 4)
As 0.250 0.250 0.250 (multiplicity 4)
Br 0.250 0.250 0.750 (multiplicity 4)

N(E_F), states/eV/cell: 22.90
Spin magnetization, μB/f.u.: 0.00
Theoretical density, g cm⁻³: 5.727

***

## Q
VASP calculation (PBE) on a relaxed structure of YAs2Br.

a b c (Å): 4.039 4.039 10.961
angles (deg): 90.00 90.00 90.00
Space group I4/mmm (No. 139)
Symmetry-distinct sites (fractional):
Y 0.000 0.000 0.000 (multiplicity 2)
As 0.000 0.500 0.250 (multiplicity 4)
Br 0.000 0.000 0.500 (multiplicity 2)

N(E_F), states/eV/cell: 2.04
Spin magnetization, μB/f.u.: 0.00
Theoretical density, g cm⁻³: 5.918

***

Result of the stability comparison: P is the least stable of them.

***

## P
VASP calculation (PBE) on a relaxed structure of YAs2Br.

a b c (Å): 3.744 5.322 12.884
angles (deg): 90.00 90.00 90.00
Space group Imm2 (No. 44)
Symmetry-distinct sites (fractional):
Y 0.000 0.000 0.000 (multiplicity 2)
As 0.000 0.000 0.569 (multiplicity 2)
As 0.000 0.500 0.935 (multiplicity 2)
Br 0.000 0.500 0.335 (multiplicity 2)

N(E_F), states/eV/cell: 0.47
Spin magnetization, μB/f.u.: 0.00
Theoretical density, g cm⁻³: 4.122

***

## Q
VASP calculation (PBE) on a relaxed structure of YAs2Br.

a b c (Å): 5.658 8.408 4.474
angles (deg): 90.00 111.19 90.00
Space group C2/m (No. 12)
Symmetry-distinct sites (fractional):
Y 0.000 0.000 0.000 (multiplicity 2)
As 0.250 0.250 0.500 (multiplicity 4)
Br 0.000 0.500 0.000 (multiplicity 2)

N(E_F), states/eV/cell: 3.57
Spin magnetization, μB/f.u.: 0.00
Theoretical density, g cm⁻³: 5.333

***

Result of the stability comparison: Q is the least stable of them.

***

## P
VASP calculation (PBE) on a relaxed structure of ZnAsBr2.

a b c (Å): 3.5050 3.5050 28.3525
angles (deg): 90.00 90.00 120.00
Space group R-3m (No. 166, hexagonal axes)
Symmetry-distinct sites (fractional):
Zn 0.0000 0.0000 0.0000 (multiplicity 3)
As 0.0000 0.0000 0.5000 (multiplicity 3)
Br 0.0000 0.0000 0.0892 (multiplicity 6)

N(E_F), states/eV/cell: 4.68
Spin magnetization, μB/f.u.: 0.00
Theoretical density, g cm⁻³: 4.957

***

## Q
VASP calculation (PBE) on a relaxed structure of ZnAsBr2.

a b c (Å): 7.106 7.133 3.576
angles (deg): 90.00 90.00 90.00
Space group Cmmm (No. 65)
Symmetry-distinct sites (fractional):
Zn 0.000 0.000 0.000 (multiplicity 2)
As 0.000 0.500 0.000 (multiplicity 2)
Br 0.250 0.250 0.500 (multiplicity 4)

N(E_F), states/eV/cell: 5.87
Spin magnetization, μB/f.u.: 0.00
Theoretical density, g cm⁻³: 5.499

***

## R
VASP calculation (PBE) on a relaxed structure of ZnAsBr2.

a b c (Å): 3.689 3.689 8.484
angles (deg): 90.00 90.00 90.00
Space group P4mm (No. 99)
Symmetry-distinct sites (fractional):
Zn 0.000 0.000 0.000 (multiplicity 1)
As 0.500 0.500 0.913 (multiplicity 1)
Br 0.000 0.000 0.272 (multiplicity 1)
Br 0.500 0.500 0.638 (multiplicity 1)

N(E_F), states/eV/cell: 1.37
Spin magnetization, μB/f.u.: 0.00
Theoretical density, g cm⁻³: 4.318

***

Result of the stability comparison: Q is the least stable of them.

***

## P
VASP calculation (PBE) on a relaxed structure of ZnAsBr2.

a b c (Å): 7.129 7.129 7.129
angles (deg): 90.00 90.00 90.00
Space group Fm-3m (No. 225)
Symmetry-distinct sites (fractional):
Zn 0.000 0.000 0.000 (multiplicity 4)
As 0.000 0.000 0.500 (multiplicity 4)
Br 0.250 0.250 0.250 (multiplicity 8)

N(E_F), states/eV/cell: 16.95
Spin magnetization, μB/f.u.: 0.00
Theoretical density, g cm⁻³: 5.501

***

## Q
VASP calculation (PBE) on a relaxed structure of ZnAsBr2.

a b c (Å): 3.426 3.426 8.468
angles (deg): 90.00 90.00 90.00
Space group P4mm (No. 99)
Symmetry-distinct sites (fractional):
Zn 0.000 0.000 0.000 (multiplicity 1)
As 0.500 0.500 0.167 (multiplicity 1)
Br 0.000 0.000 0.393 (multiplicity 1)
Br 0.500 0.500 0.814 (multiplicity 1)

N(E_F), states/eV/cell: 0.30
Spin magnetization, μB/f.u.: 0.00
Theoretical density, g cm⁻³: 5.015

***

## R
VASP calculation (PBE) on a relaxed structure of ZnAsBr2.

a b c (Å): 7.765 3.607 8.726
angles (deg): 90.00 93.48 90.00
Space group Cm (No. 8)
Symmetry-distinct sites (fractional):
Zn 0.000 0.000 0.000 (multiplicity 2)
As 0.216 0.500 0.123 (multiplicity 2)
Br 0.279 0.500 0.389 (multiplicity 2)
Br 0.497 0.000 0.796 (multiplicity 2)

N(E_F), states/eV/cell: 3.65
Spin magnetization, μB/f.u.: 0.00
Theoretical density, g cm⁻³: 4.086

***

Result of the stability comparison: P is the least stable of them.

***

## P
VASP calculation (PBE) on a relaxed structure of ZnAsBr2.

a b c (Å): 6.597 7.765 7.870
angles (deg): 90.00 90.00 90.00
Space group Fmmm (No. 69)
Symmetry-distinct sites (fractional):
Zn 0.000 0.000 0.000 (multiplicity 4)
As 0.000 0.000 0.500 (multiplicity 4)
Br 0.000 0.250 0.250 (multiplicity 8)

N(E_F), states/eV/cell: 5.55
Spin magnetization, μB/f.u.: 0.00
Theoretical density, g cm⁻³: 4.945

***

## Q
VASP calculation (PBE) on a relaxed structure of ZnAsBr2.

a b c (Å): 7.139 7.139 7.139
angles (deg): 90.00 90.00 90.00
Space group F-43m (No. 216)
Symmetry-distinct sites (fractional):
Zn 0.000 0.000 0.000 (multiplicity 4)
As 0.250 0.250 0.250 (multiplicity 4)
Br 0.000 0.000 0.500 (multiplicity 4)
Br 0.250 0.250 0.750 (multiplicity 4)

N(E_F), states/eV/cell: 15.05
Spin magnetization, μB/f.u.: 0.00
Theoretical density, g cm⁻³: 5.480

***

Result of the stability comparison: Q is the least stable of them.

***

## P
VASP calculation (PBE) on a relaxed structure of Zn2As2Br.

a b c (Å): 8.535 8.535 2.757
angles (deg): 90.00 90.00 90.00
Space group P4/mbm (No. 127)
Symmetry-distinct sites (fractional):
Zn 0.156 0.344 0.000 (multiplicity 4)
As 0.135 0.635 0.500 (multiplicity 4)
Br 0.000 0.000 0.000 (multiplicity 2)

N(E_F), states/eV/cell: 5.45
Spin magnetization, μB/f.u.: 0.00
Theoretical density, g cm⁻³: 5.963

***

## Q
VASP calculation (PBE) on a relaxed structure of Zn2As2Br.

a b c (Å): 3.943 3.943 13.329
angles (deg): 90.00 90.00 90.00
Space group I4/mmm (No. 139)
Symmetry-distinct sites (fractional):
Zn 0.000 0.000 0.100 (multiplicity 4)
As 0.000 0.500 0.250 (multiplicity 4)
Br 0.000 0.000 0.500 (multiplicity 2)

N(E_F), states/eV/cell: 5.83
Spin magnetization, μB/f.u.: 0.00
Theoretical density, g cm⁻³: 5.777

***

Result of the stability comparison: P is the least stable of them.

***

## P
VASP calculation (PBE) on a relaxed structure of ZnAs2Br8.

a b c (Å): 10.660 11.824 8.780
angles (deg): 90.00 113.13 90.00
Space group C2/m (No. 12)
Symmetry-distinct sites (fractional):
Zn 0.000 0.000 0.000 (multiplicity 2)
As 0.192 0.000 0.635 (multiplicity 4)
Br 0.069 0.500 0.279 (multiplicity 4)
Br 0.161 0.156 0.791 (multiplicity 8)
Br 0.197 0.000 0.226 (multiplicity 4)

N(E_F), states/eV/cell: 0.00
Spin magnetization, μB/f.u.: 0.00
Theoretical density, g cm⁻³: 2.788

***

## Q
VASP calculation (PBE) on a relaxed structure of ZnAs2Br8.

a b c (Å): 4.070 8.308 13.267
angles (deg): 88.22 87.44 82.61
Space group P-1 (No. 2)
Symmetry-distinct sites (fractional):
Zn 0.000 0.000 0.000 (multiplicity 1)
As 0.068 0.262 0.327 (multiplicity 2)
Br 0.138 0.965 0.747 (multiplicity 2)
Br 0.233 0.740 0.515 (multiplicity 2)
Br 0.257 0.521 0.757 (multiplicity 2)
Br 0.416 0.791 0.030 (multiplicity 2)

N(E_F), states/eV/cell: 0.00
Spin magnetization, μB/f.u.: 0.00
Theoretical density, g cm⁻³: 3.194

***

Result of the stability comparison: P is the least stable of them.

***

## P
VASP calculation (PBE) on a relaxed structure of ZrZnAsBr2.

a b c (Å): 5.334 5.334 5.345
angles (deg): 90.00 90.00 90.00
Space group P4/mmm (No. 123)
Symmetry-distinct sites (fractional):
Zr 0.000 0.000 0.000 (multiplicity 1)
Zn 0.500 0.500 0.500 (multiplicity 1)
As 0.000 0.000 0.500 (multiplicity 1)
Br 0.000 0.500 0.000 (multiplicity 2)

N(E_F), states/eV/cell: 2.93
Spin magnetization, μB/f.u.: 0.00
Theoretical density, g cm⁻³: 4.274

***

## Q
VASP calculation (PBE) on a relaxed structure of ZrZnAsBr2.

a b c (Å): 4.903 4.903 5.164
angles (deg): 90.00 90.00 90.00
Space group P4/mmm (No. 123)
Symmetry-distinct sites (fractional):
Zr 0.000 0.000 0.000 (multiplicity 1)
Zn 0.500 0.500 0.500 (multiplicity 1)
As 0.500 0.500 0.000 (multiplicity 1)
Br 0.000 0.500 0.500 (multiplicity 2)

N(E_F), states/eV/cell: 5.04
Spin magnetization, μB/f.u.: 1.02
Theoretical density, g cm⁻³: 5.236

***

Result of the stability comparison: Q is the least stable of them.